1.
Density functional theory data (meta-GGA SCAN) for KLaZr2 at its PBEsol-relaxed geometry.

## Properties
Offset from the most stable computed form = 0.438 eV/atom
SG = P2/m, No. 10
Theoretical density = 5.47 Mg/m³
Total energy = -27.4408 eV per atom

```
KLaZr2
1.0
-0.310 0.813 3.059
1.683 -5.384 1.601
4.955 3.820 -0.513
K La Zr
1 1 2
Direct
0.500 0.000 0.500
0.000 0.500 0.500
0.000 0.000 0.000
0.500 0.500 0.000
```



2.
Density functional theory data (meta-GGA SCAN) for LaBeIr2 at its PBEsol-relaxed geometry.

## Properties
SG = I4_1/amd, No. 141
Theoretical density = 10.35 Mg/m³
Total energy = -47.9192 eV per atom

```
LaBeIr2
1.0
4.762 0.000 0.000
0.000 4.762 0.000
-2.381 -2.381 7.537
Be Ir La
2 4 2
Direct
0.500 0.500 0.000
0.750 0.250 0.500
0.625 0.375 0.750
0.125 0.375 0.750
0.625 0.875 0.250
0.625 0.375 0.250
0.000 0.000 0.000
0.250 0.750 0.500
```



3.
Density functional theory data (meta-GGA SCAN) for Y2MgTa at its PBEsol-relaxed geometry.

## Properties
SG = P4mm, No. 99
Theoretical density = 6.61 Mg/m³
Total energy = -31.5093 eV per atom

```
Y2MgTa
1.0
-1.873 -1.560 1.963
1.516 -2.656 -0.664
6.273 1.737 7.364
Mg Ta Y
1 1 2
Direct
0.000 0.000 0.526
0.500 0.500 0.740
0.000 0.000 0.967
0.500 0.500 0.268
```



4.
Density functional theory data (meta-GGA SCAN) for Mn2SbAs at its PBEsol-relaxed geometry.

## Properties
SG = P4/mmm, No. 123
Theoretical density = 9.26 Mg/m³
Total energy = -23.1110 eV per atom
E_form (uncorrected) = 37 kJ/mol of atoms

```
Mn2SbAs
1.0
-1.440 2.216 -1.490
-0.623 -2.621 -3.296
-3.695 -1.259 1.700
As Mn Sb
1 2 1
Direct
0.500 0.500 0.500
0.000 0.500 0.000
0.000 0.000 0.500
0.500 0.000 0.000
```



5.
Density functional theory data (meta-GGA SCAN) for CuTc at its PBEsol-relaxed geometry.

## Properties
Offset from the most stable computed form = 0.102 eV/atom
SG = P4/nmm, No. 129
Theoretical density = 10.45 Mg/m³
Total energy = -24.9313 eV per atom

```
CuTc
1.0
2.719 0.000 0.000
0.000 2.719 0.000
0.000 0.000 6.945
Cu Tc
2 2
Direct
0.500 0.000 0.111
0.000 0.500 0.889
0.500 0.000 0.624
0.000 0.500 0.376
```



6.
Density functional theory data (meta-GGA SCAN) for CuRe2NiAs at its PBEsol-relaxed geometry.

## Properties
SG = P4/mmm, No. 123
Theoretical density = 11.58 Mg/m³
Total energy = -37.1458 eV per atom

```
CuRe2NiAs
1.0
-0.388 3.694 1.962
-0.320 -2.090 3.870
4.380 0.207 0.475
Re As Cu Ni
2 1 1 1
Direct
0.000 0.000 0.500
0.000 0.500 0.000
0.500 0.500 0.500
0.500 0.000 0.000
0.000 0.000 0.000
```



7.
Density functional theory data (meta-GGA SCAN) for La5Ag at its PBEsol-relaxed geometry.

## Properties
Offset from the most stable computed form = 0.000 eV/atom
SG = P4/mmm, No. 123
Theoretical density = 7.18 Mg/m³
Total energy = -41.2381 eV per atom

```
La5Ag
1.0
3.704 0.000 0.000
0.000 3.704 0.000
0.000 0.000 13.524
Ag La
1 5
Direct
0.500 0.500 0.500
0.000 0.000 0.639
0.500 0.500 0.817
0.000 0.000 0.000
0.500 0.500 0.183
0.000 0.000 0.361
```



8.
Density functional theory data (meta-GGA SCAN) for Ba2MnSb at its PBEsol-relaxed geometry.

## Properties
SG = Amm2, No. 38
Theoretical density = 5.18 Mg/m³
Total energy = -34.2091 eV per atom
E_form (uncorrected) = -54 kJ/mol of atoms

```
Ba2MnSb
1.0
4.616 0.000 0.000
0.000 4.881 0.000
0.000 -2.440 6.422
Ba Mn Sb
2 1 1
Direct
0.000 0.985 0.971
0.500 0.271 0.543
0.000 0.686 0.372
0.500 0.565 0.130
```